No. 1
Computed, not measured: crystalline ThPa2Au6 at its relaxed geometry at the PBE level of DFT.

```
ThPa2Au6
1.0
3.238 0.000 0.892
0.582 7.458 4.208
-0.610 0.640 8.538
Th Pa Au
1 2 6
direct
0.000 0.000 0.000
0.853 0.648 0.648
0.147 0.352 0.352
0.673 0.004 0.650
0.327 0.996 0.350
0.327 0.350 0.996
0.500 0.672 0.328
0.500 0.328 0.672
0.673 0.650 0.004
```

Computed properties:
DFT formation energy (meV/atom): -440.9

=====

No. 2
Computed, not measured: crystalline SrPm2Si2 at its relaxed geometry at the PBE level of DFT.

```
SrPm2Si2
1.0
-0.776 -5.542 0.275
3.807 -0.734 -4.044
4.073 2.620 7.239
Sr Pm Si
1 2 2
direct
0.000 0.000 0.000
0.750 0.250 0.500
0.250 0.750 0.500
0.191 0.191 0.382
0.809 0.809 0.618
```

Computed properties:
E (eV/atom): -4.438

=====

No. 3
Computed, not measured: crystalline ZrPa2AlN6 at its relaxed geometry at the PBE level of DFT.

```
ZrPa2AlN6
1.0
5.640 0.000 0.000
2.820 4.884 0.000
2.820 1.628 4.764
Zr Pa Al N
1 2 1 6
direct
0.805 0.805 0.584
0.531 0.531 0.406
0.029 0.029 0.914
0.312 0.312 0.063
0.596 0.194 0.253
0.194 0.957 0.253
0.957 0.596 0.253
0.440 0.681 0.763
0.681 0.116 0.763
0.116 0.440 0.763
```

Computed properties:
E (eV/atom): -9.364